[1]
VASP calculation (PBE) on a geometry-optimized PaNiBiRh structure.

a = 6.786 Å, b = 6.786 Å, c = 6.786 Å
α = 90.00°, β = 90.00°, γ = 90.00°
Space group F-43m (No. 216)
Inequivalent atoms, fractional coordinates:
Pa  0.000  0.000  0.000 [4 per cell]
Ni  0.250  0.250  0.750 [4 per cell]
Bi  0.000  0.000  0.500 [4 per cell]
Rh  0.250  0.250  0.250 [4 per cell]

Properties
Energy relative to the elements = -29.7 kJ per mole of atoms
DFT total energy = -6.935 eV per atom

[2]
VASP calculation (PBE) on a geometry-optimized PaNiBiRu structure.

a = 6.771 Å, b = 6.771 Å, c = 6.771 Å
α = 90.00°, β = 90.00°, γ = 90.00°
Space group F-43m (No. 216)
Inequivalent atoms, fractional coordinates:
Pa  0.000  0.000  0.000 [4 per cell]
Ni  0.250  0.250  0.250 [4 per cell]
Bi  0.000  0.000  0.500 [4 per cell]
Ru  0.250  0.250  0.750 [4 per cell]

Properties
Energy relative to the elements = -7.7 kJ per mole of atoms
DFT total energy = -7.188 eV per atom

[3]
VASP calculation (PBE) on a geometry-optimized PaNiBiS4 structure.

a = 6.361 Å, b = 5.971 Å, c = 7.893 Å
α = 90.00°, β = 105.98°, γ = 90.00°
Space group P2_1/m (No. 11)
Inequivalent atoms, fractional coordinates:
Pa  0.242  0.250  0.048 [2 per cell]
Ni  0.234  0.750  0.857 [2 per cell]
Bi  0.281  0.250  0.540 [2 per cell]
S  0.014  0.508  0.228 [4 per cell]
S  0.410  0.750  0.636 [2 per cell]
S  0.444  0.750  0.121 [2 per cell]

Properties
Formation energy without anion corrections = -0.821 eV/atom
DFT total energy = -5.916 eV per atom

[4]
VASP calculation (PBE) on a geometry-optimized Ni4Bi12Pb structure.

a = 9.734 Å, b = 9.734 Å, c = 9.734 Å
α = 90.00°, β = 90.00°, γ = 90.00°
Space group Im-3 (No. 204)
Inequivalent atoms, fractional coordinates:
Ni  0.250  0.250  0.250 [8 per cell]
Bi  0.000  0.330  0.164 [24 per cell]
Pb  0.000  0.000  0.000 [2 per cell]

Properties
Energy relative to the elements = -0.3 kJ per mole of atoms
DFT total energy = -4.321 eV per atom

[5]
VASP calculation (PBE) on a geometry-optimized Tl2NiBiPb structure.

a = 5.114 Å, b = 5.114 Å, c = 5.424 Å
α = 90.00°, β = 90.00°, γ = 90.00°
Space group P4/mmm (No. 123)
Inequivalent atoms, fractional coordinates:
Tl  0.000  0.500  0.000 [2 per cell]
Ni  0.000  0.000  0.000 [1 per cell]
Bi  0.000  0.000  0.500 [1 per cell]
Pb  0.500  0.500  0.500 [1 per cell]

Properties
Offset from the most stable computed form = 0.0167 eV/atom
Energy relative to the elements = 13.9 kJ per mole of atoms
DFT total energy = -3.477 eV per atom

[6]
VASP calculation (PBE) on a geometry-optimized TlNiBi2Pb structure.

a = 5.303 Å, b = 5.303 Å, c = 5.220 Å
α = 90.00°, β = 90.00°, γ = 90.00°
Space group P4/mmm (No. 123)
Inequivalent atoms, fractional coordinates:
Tl  0.000  0.000  0.000 [1 per cell]
Ni  0.500  0.500  0.500 [1 per cell]
Bi  0.000  0.500  0.500 [2 per cell]
Pb  0.500  0.500  0.000 [1 per cell]

Properties
Offset from the most stable computed form = 0.0124 eV/atom
Energy relative to the elements = 17.3 kJ per mole of atoms
DFT total energy = -3.744 eV per atom

[7]
VASP calculation (PBE) on a geometry-optimized Tl2NiBiPb structure.

a = 5.163 Å, b = 5.163 Å, c = 5.271 Å
α = 90.00°, β = 90.00°, γ = 90.00°
Space group P4/mmm (No. 123)
Inequivalent atoms, fractional coordinates:
Tl  0.000  0.500  0.000 [2 per cell]
Ni  0.000  0.000  0.000 [1 per cell]
Bi  0.500  0.500  0.500 [1 per cell]
Pb  0.000  0.000  0.500 [1 per cell]

Properties
Offset from the most stable computed form = 0.0000 eV/atom
Energy relative to the elements = 12.3 kJ per mole of atoms
DFT total energy = -3.493 eV per atom

[8]
VASP calculation (PBE) on a geometry-optimized TlNiBi2Pb structure.

a = 5.320 Å, b = 5.320 Å, c = 5.085 Å
α = 90.00°, β = 90.00°, γ = 90.00°
Space group P4/mmm (No. 123)
Inequivalent atoms, fractional coordinates:
Tl  0.000  0.000  0.000 [1 per cell]
Ni  0.000  0.000  0.500 [1 per cell]
Bi  0.000  0.500  0.500 [2 per cell]
Pb  0.500  0.500  0.000 [1 per cell]

Properties
Offset from the most stable computed form = 0.0000 eV/atom
Energy relative to the elements = 16.1 kJ per mole of atoms
DFT total energy = -3.757 eV per atom

[9]
VASP calculation (PBE) on a geometry-optimized NiBi2PbW structure.

a = 5.831 Å, b = 5.831 Å, c = 4.690 Å
α = 90.00°, β = 90.00°, γ = 90.00°
Space group P4/mmm (No. 123)
Inequivalent atoms, fractional coordinates:
Ni  0.000  0.000  0.000 [1 per cell]
Bi  0.000  0.500  0.500 [2 per cell]
Pb  0.000  0.000  0.500 [1 per cell]
W  0.500  0.500  0.000 [1 per cell]

Properties
Energy relative to the elements = 183.1 kJ per mole of atoms
DFT total energy = -4.143 eV per atom

[10]
VASP calculation (PBE) on a geometry-optimized NiBi4Pd15 structure.

a = 4.108 Å, b = 4.108 Å, c = 20.284 Å
α = 90.00°, β = 90.00°, γ = 90.00°
Space group P4/mmm (No. 123)
Inequivalent atoms, fractional coordinates:
Ni  0.000  0.000  0.000 [1 per cell]
Bi  0.000  0.000  0.185 [2 per cell]
Bi  0.000  0.000  0.395 [2 per cell]
Pd  0.000  0.500  0.089 [4 per cell]
Pd  0.000  0.500  0.295 [4 per cell]
Pd  0.000  0.500  0.500 [2 per cell]
Pd  0.500  0.500  0.000 [1 per cell]
Pd  0.500  0.500  0.196 [2 per cell]
Pd  0.500  0.500  0.399 [2 per cell]

Properties
Energy relative to the elements = -17.9 kJ per mole of atoms
DFT total energy = -5.145 eV per atom

[11]
VASP calculation (PBE) on a geometry-optimized NiBiPd2 structure.

a = 3.377 Å, b = 3.377 Å, c = 6.056 Å
α = 90.00°, β = 90.00°, γ = 90.00°
Space group P4/mmm (No. 123)
Inequivalent atoms, fractional coordinates:
Ni  0.000  0.000  0.000 [1 per cell]
Bi  0.000  0.000  0.500 [1 per cell]
Pd  0.500  0.500  0.221 [2 per cell]

Properties
Energy relative to the elements = 0.6 kJ per mole of atoms
DFT total energy = -5.006 eV per atom

[12]
VASP calculation (PBE) on a geometry-optimized Ni2Bi3Pd structure.

a = 17.170 Å, b = 4.329 Å, c = 7.342 Å
α = 90.00°, β = 102.32°, γ = 90.00°
Space group C2/m (No. 12)
Inequivalent atoms, fractional coordinates:
Ni  0.065  0.000  0.143 [4 per cell]
Ni  0.236  0.500  0.413 [4 per cell]
Bi  0.080  0.000  0.787 [4 per cell]
Bi  0.081  0.500  0.367 [4 per cell]
Bi  0.243  0.000  0.211 [4 per cell]
Pd  0.143  0.500  0.033 [4 per cell]

Properties
Energy relative to the elements = -0.2 kJ per mole of atoms
DFT total energy = -4.735 eV per atom

[13]
VASP calculation (PBE) on a geometry-optimized NiBi3Pd structure.

a = 5.326 Å, b = 5.326 Å, c = 5.326 Å
α = 90.00°, β = 90.00°, γ = 90.00°
Space group Pm-3m (No. 221)
Inequivalent atoms, fractional coordinates:
Ni  0.000  0.000  0.000 [1 per cell]
Bi  0.000  0.500  0.500 [3 per cell]
Pd  0.500  0.500  0.500 [1 per cell]

Properties
Offset from the most stable computed form = 0.7810 eV/atom
Energy relative to the elements = 69.3 kJ per mole of atoms
DFT total energy = -3.805 eV per atom

[14]
VASP calculation (PBE) on a geometry-optimized Ni2BiPd structure.

a = 3.920 Å, b = 3.920 Å, c = 18.054 Å
α = 90.00°, β = 90.00°, γ = 90.00°
Space group I-42d (No. 122)
Inequivalent atoms, fractional coordinates:
Ni  0.206  0.250  0.125 [8 per cell]
Bi  0.000  0.000  0.500 [4 per cell]
Pd  0.000  0.000  0.000 [4 per cell]

Properties
Energy relative to the elements = 28.9 kJ per mole of atoms
DFT total energy = -4.860 eV per atom

[15]
VASP calculation (PBE) on a geometry-optimized NiBi12Pd6 structure.

a = 12.4673 Å, b = 12.4673 Å, c = 11.5210 Å
α = 90.00°, β = 90.00°, γ = 120.00°
Space group R-3 (No. 148, hexagonal axes)
Inequivalent atoms, fractional coordinates:
Ni  0.0000  0.0000  0.0000 [3 per cell]
Bi  0.0402  0.8174  0.4012 [18 per cell]
Bi  0.0439  0.8311  0.8955 [18 per cell]
Pd  0.0522  0.7913  0.6533 [18 per cell]

Properties
Energy relative to the elements = -16.7 kJ per mole of atoms
DFT total energy = -4.568 eV per atom

[16]
VASP calculation (PBE) on a geometry-optimized NiBiPd3 structure.

a = 5.033 Å, b = 5.033 Å, c = 5.033 Å
α = 90.00°, β = 90.00°, γ = 90.00°
Space group Pm-3m (No. 221)
Inequivalent atoms, fractional coordinates:
Ni  0.000  0.000  0.000 [1 per cell]
Bi  0.500  0.500  0.500 [1 per cell]
Pd  0.000  0.500  0.500 [3 per cell]

Properties
Offset from the most stable computed form = 0.6407 eV/atom
Energy relative to the elements = 106.8 kJ per mole of atoms
DFT total energy = -3.942 eV per atom

[17]
VASP calculation (PBE) on a geometry-optimized Ni2BiPd2 structure.

a = 6.654 Å, b = 6.654 Å, c = 3.617 Å
α = 90.00°, β = 90.00°, γ = 90.00°
Space group P4/mbm (No. 127)
Inequivalent atoms, fractional coordinates:
Ni  0.129  0.371  0.000 [4 per cell]
Bi  0.000  0.000  0.000 [2 per cell]
Pd  0.159  0.659  0.500 [4 per cell]

Properties
Offset from the most stable computed form = 0.0000 eV/atom
Energy relative to the elements = 7.0 kJ per mole of atoms
DFT total energy = -5.094 eV per atom

[18]
VASP calculation (PBE) on a geometry-optimized NiBi3Pd12 structure.

a = 4.090 Å, b = 4.090 Å, c = 16.221 Å
α = 90.00°, β = 90.00°, γ = 90.00°
Space group P4/mmm (No. 123)
Inequivalent atoms, fractional coordinates:
Ni  0.000  0.000  0.000 [1 per cell]
Bi  0.000  0.000  0.233 [2 per cell]
Bi  0.000  0.000  0.500 [1 per cell]
Pd  0.000  0.500  0.112 [4 per cell]
Pd  0.000  0.500  0.372 [4 per cell]
Pd  0.500  0.500  0.000 [1 per cell]
Pd  0.500  0.500  0.247 [2 per cell]
Pd  0.500  0.500  0.500 [1 per cell]

Properties
Energy relative to the elements = -16.5 kJ per mole of atoms
DFT total energy = -5.155 eV per atom

[19]
VASP calculation (PBE) on a geometry-optimized Ni2BiPd2 structure.

a = 3.801 Å, b = 3.801 Å, c = 11.610 Å
α = 90.00°, β = 90.00°, γ = 90.00°
Space group I4/mmm (No. 139)
Inequivalent atoms, fractional coordinates:
Ni  0.000  0.000  0.101 [4 per cell]
Bi  0.000  0.000  0.500 [2 per cell]
Pd  0.000  0.500  0.250 [4 per cell]

Properties
Offset from the most stable computed form = 0.1147 eV/atom
Energy relative to the elements = 18.0 kJ per mole of atoms
DFT total energy = -4.979 eV per atom

[20]
VASP calculation (PBE) on a geometry-optimized NiBiPd3 structure.

a = 4.635 Å, b = 4.635 Å, c = 4.635 Å
α = 90.00°, β = 90.00°, γ = 90.00°
Space group Pm-3m (No. 221)
Inequivalent atoms, fractional coordinates:
Ni  0.000  0.000  0.000 [1 per cell]
Bi  0.500  0.500  0.500 [1 per cell]
Pd  0.000  0.000  0.500 [3 per cell]

Properties
Offset from the most stable computed form = 0.0000 eV/atom
Energy relative to the elements = 45.0 kJ per mole of atoms
DFT total energy = -4.582 eV per atom

[21]
VASP calculation (PBE) on a geometry-optimized NiBi4Pd structure.

a = 8.826 Å, b = 13.093 Å, c = 6.215 Å
α = 90.00°, β = 122.10°, γ = 90.00°
Space group C2/c (No. 15)
Inequivalent atoms, fractional coordinates:
Ni  0.000  0.012  0.250 [4 per cell]
Bi  0.127  0.178  0.591 [8 per cell]
Bi  0.207  0.443  0.783 [8 per cell]
Pd  0.000  0.366  0.250 [4 per cell]

Properties
Offset from the most stable computed form = 0.0000 eV/atom
Energy relative to the elements = -4.7 kJ per mole of atoms
DFT total energy = -4.465 eV per atom

[22]
VASP calculation (PBE) on a geometry-optimized Ni2Bi4Pd structure.

a = 6.712 Å, b = 6.991 Å, c = 8.246 Å
α = 109.00°, β = 108.97°, γ = 101.47°
Space group P1 (No. 1)
Inequivalent atoms, fractional coordinates:
Ni  0.000  0.000  0.000 [1 per cell]
Ni  0.027  0.003  0.509 [1 per cell]
Ni  0.100  0.303  0.892 [1 per cell]
Ni  0.526  0.443  0.967 [1 per cell]
Bi  0.236  0.415  0.649 [1 per cell]
Bi  0.269  0.976  0.302 [1 per cell]
Bi  0.304  0.000  0.836 [1 per cell]
Bi  0.435  0.437  0.262 [1 per cell]
Bi  0.709  0.875  0.156 [1 per cell]
Bi  0.733  0.940  0.648 [1 per cell]
Bi  0.834  0.549  0.820 [1 per cell]
Bi  0.888  0.358  0.144 [1 per cell]
Pd  0.242  0.698  0.476 [1 per cell]
Pd  0.735  0.238  0.459 [1 per cell]

Properties
Offset from the most stable computed form = 0.0586 eV/atom
Energy relative to the elements = -3.2 kJ per mole of atoms
DFT total energy = -4.644 eV per atom

[23]
VASP calculation (PBE) on a geometry-optimized NiBi8Pd2 structure.

a = 11.722 Å, b = 10.327 Å, c = 5.625 Å
α = 90.00°, β = 93.32°, γ = 90.00°
Space group C2/m (No. 12)
Inequivalent atoms, fractional coordinates:
Ni  0.000  0.000  0.000 [2 per cell]
Bi  0.058  0.500  0.758 [4 per cell]
Bi  0.070  0.210  0.270 [8 per cell]
Bi  0.183  0.000  0.747 [4 per cell]
Pd  0.215  0.000  0.250 [4 per cell]

Properties
Energy relative to the elements = 5.0 kJ per mole of atoms
DFT total energy = -4.240 eV per atom